[1]
A plane-wave DFT calculation with PBE was carried out for BaMoSeN2 after structural relaxation.

Results
Crystal system: tetragonal
Space-group type: No. 123
E_tot (eV/atom): -6.847
Raw formation energy (meV/atom): -269.1

Lattice parameters (Å, degrees): 4.1865 5.1346 4.1865 90.00 90.00 90.00
Last column: nearest neighbours and their distance in Å.
Element x y z (fractional)
Mo (0.0000, 0.0000, 0.0000)  4 N 2.09
Ba (0.5000, 0.5000, 0.5000)  4 Se 2.96, 8 N 3.31
Se (0.0000, 0.5000, 0.0000)  2 Mo 2.57
N (0.0000, 0.0000, 0.5000)  2 Mo 2.09
N (0.5000, 0.0000, 0.0000)  2 Mo 2.09

***

[2]
A plane-wave DFT calculation with PBE was carried out for BaMoSe2N after structural relaxation.

Results
Crystal system: tetragonal
Space-group type: No. 123
E_tot (eV/atom): -6.331
Raw formation energy (meV/atom): -721.7

Lattice parameters (Å, degrees): 5.2721 5.2721 3.9324 90.00 90.00 90.00
Last column: nearest neighbours and their distance in Å.
Element x y z (fractional)
Mo (0.0000, 0.0000, 0.0000)  2 N 1.97
Ba (0.5000, 0.5000, 0.5000)  8 Se 3.29
Se (0.0000, 0.5000, 0.0000)  2 Mo 2.64
Se (0.5000, 0.0000, 0.0000)  2 Mo 2.64
N (0.0000, 0.0000, 0.5000)  2 Mo 1.97

***

[3]
A plane-wave DFT calculation with PBE was carried out for BaMoSeN2 after structural relaxation.

Results
Crystal system: tetragonal
Space-group type: No. 123
E_tot (eV/atom): -4.261
Raw formation energy (meV/atom): 2316.7

Lattice parameters (Å, degrees): 4.2827 4.2827 6.3005 90.00 90.00 90.00
Last column: nearest neighbours and their distance in Å.
Element x y z (fractional)
Mo (0.5000, 0.5000, 0.5000)  4 Se 3.03
Ba (0.0000, 0.0000, 0.0000)  4 N 2.14
Se (0.0000, 0.0000, 0.5000)  4 Mo 3.03, 2 Ba 3.15
N (0.0000, 0.5000, 0.0000)  2 Ba 2.14
N (0.5000, 0.0000, 0.0000)  2 Ba 2.14

***

[4]
A plane-wave DFT calculation with PBE was carried out for BaMoSe2N after structural relaxation.

Results
Crystal system: tetragonal
Space-group type: No. 123
E_tot (eV/atom): -4.052
Raw formation energy (meV/atom): 1558.1

Lattice parameters (Å, degrees): 6.0212 6.0212 4.6624 90.00 90.00 90.00
Last column: nearest neighbours and their distance in Å.
Element x y z (fractional)
Mo (0.5000, 0.5000, 0.5000)  8 Se 3.81, 4 N 4.26
Ba (0.0000, 0.0000, 0.0000)  2 N 2.33
Se (0.0000, 0.5000, 0.0000)  2 Ba 3.01
Se (0.5000, 0.0000, 0.0000)  2 Ba 3.01
N (0.0000, 0.0000, 0.5000)  2 Ba 2.33

***

[5]
A plane-wave DFT calculation with PBE was carried out for Ba2SmMo2N6 after structural relaxation.

Results
Crystal system: monoclinic
Space-group type: No. 12
E_tot (eV/atom): -7.953
Raw formation energy (meV/atom): -664.2

Lattice parameters (Å, degrees): 6.2502 6.3020 7.2741 117.45 90.00 119.73
Last column: nearest neighbours and their distance in Å.
Element x y z (fractional)
Ba (0.7096, 0.4192, 0.1793)  5 N 2.89-2.94
Ba (0.2904, 0.5808, 0.8207)  5 N 2.89-2.94
Sm (0.5000, 0.0000, 0.5000)  6 N 2.42-2.50
Mo (0.9596, 0.9193, 0.7846)  3 N 1.83-1.85
Mo (0.0404, 0.0807, 0.2154)  3 N 1.83-1.85
N (0.7607, 0.5213, 0.6192)  1 Mo 1.85
N (0.1898, 0.8952, 0.2189)  1 Mo 1.83
N (0.2946, 0.1048, 0.7811)  1 Mo 1.83
N (0.8102, 0.1048, 0.7811)  1 Mo 1.83
N (0.7054, 0.8952, 0.2189)  1 Mo 1.83
N (0.2393, 0.4787, 0.3808)  1 Mo 1.85

***

[6]
A plane-wave DFT calculation with PBE was carried out for Ba2SmMoN4 after structural relaxation.

Results
Crystal system: orthorhombic
Space-group type: No. 31
E_tot (eV/atom): -7.414
Raw formation energy (meV/atom): -826.9

Lattice parameters (Å, degrees): 5.9646 7.3369 7.7543 90.00 90.00 90.00
Last column: nearest neighbours and their distance in Å.
Element x y z (fractional)
Ba (0.4723, 0.3374, 0.2487)  4 N 2.65-2.85
Ba (0.4723, 0.3374, 0.7513)  4 N 2.65-2.85
Ba (0.9723, 0.6626, 0.7487)  4 N 2.65-2.85
Ba (0.9723, 0.6626, 0.2513)  4 N 2.65-2.85
Sm (0.9879, 0.1489, 0.5000)  4 N 2.25-2.47
Sm (0.4879, 0.8511, 0.0000)  4 N 2.25-2.47
Mo (0.5030, 0.8495, 0.5000)  4 N 1.88-1.91
Mo (0.0031, 0.1505, 0.0000)  4 N 1.88-1.91
N (0.3164, 0.1241, 0.0000)  1 Mo 1.88
N (0.8164, 0.8759, 0.5000)  1 Mo 1.88
N (0.3684, 0.0852, 0.5000)  1 Mo 1.91
N (0.8684, 0.9148, 0.0000)  1 Mo 1.91
N (0.4398, 0.7218, 0.7080)  1 Mo 1.90
N (0.9398, 0.2782, 0.2080)  1 Mo 1.90
N (0.9398, 0.2782, 0.7920)  1 Mo 1.90
N (0.4398, 0.7218, 0.2920)  1 Mo 1.90

***

Q: Among the records above, which one has the highest E_tot?
A: number 4

***

Q: What is the E_tot in the fifth record?
A: -7.953 eV/atom

***

Q: Among the records above, which one has the lowest raw formation energy?
A: Ba2SmMoN4